(1)
Below is La2Y at its PBEsol-relaxed geometry, with properties calculated at the meta-GGA SCAN level.

abc: 9.860 9.860 3.538
angles: 90.00 90.00 120.00
Atoms (fractional coordinates):
La  0.000  0.354  0.000
La  0.000  0.690  0.500
La  0.310  0.310  0.500
La  0.354  0.000  0.000
La  0.646  0.646  0.000
La  0.690  0.000  0.500
Y  0.000  0.000  0.000
Y  0.333  0.667  0.500
Y  0.667  0.333  0.500

Output
Magnetic moment, μB per formula unit: 0.0
Distance to the lowest polymorph of the same formula, eV/atom: 0.014
Total DFT energy (no corrections), eV for the cell shown: -341.9



(2)
Below is Cr2P3O12 at its PBEsol-relaxed geometry, with properties calculated at the meta-GGA SCAN level.

abc: 8.254 8.419 14.091
angles: 90.00 125.28 90.00
Atoms (fractional coordinates):
Cr  0.127  0.034  0.380
Cr  0.127  0.466  0.880
Cr  0.370  0.033  0.116
Cr  0.370  0.467  0.616
Cr  0.630  0.533  0.384
Cr  0.630  0.967  0.884
Cr  0.873  0.534  0.120
Cr  0.873  0.966  0.620
P  0.033  0.614  0.642
P  0.033  0.886  0.142
P  0.251  0.117  0.647
P  0.251  0.383  0.147
P  0.461  0.749  0.992
P  0.461  0.751  0.492
P  0.539  0.249  0.508
P  0.539  0.251  0.008
P  0.749  0.617  0.853
P  0.749  0.883  0.353
P  0.967  0.114  0.858
P  0.967  0.386  0.358
O  0.028  0.716  0.181
O  0.028  0.784  0.681
O  0.093  0.004  0.241
O  0.093  0.496  0.741
O  0.099  0.083  0.674
O  0.099  0.417  0.174
O  0.165  0.071  0.521
O  0.165  0.429  0.021
O  0.179  0.073  0.960
O  0.179  0.427  0.460
O  0.183  0.604  0.611
O  0.183  0.896  0.111
O  0.267  0.656  0.936
O  0.267  0.844  0.436
O  0.291  0.202  0.164
O  0.291  0.298  0.664
O  0.359  0.140  0.433
O  0.359  0.360  0.933
O  0.440  0.019  0.728
O  0.440  0.481  0.228
O  0.463  0.675  0.393
O  0.463  0.825  0.893
O  0.469  0.629  0.575
O  0.469  0.871  0.075
O  0.531  0.129  0.925
O  0.531  0.371  0.425
O  0.537  0.175  0.107
O  0.537  0.325  0.607
O  0.560  0.519  0.772
O  0.560  0.981  0.272
O  0.641  0.640  0.067
O  0.641  0.860  0.567
O  0.709  0.702  0.336
O  0.709  0.798  0.836
O  0.733  0.156  0.564
O  0.733  0.344  0.064
O  0.817  0.104  0.889
O  0.817  0.396  0.389
O  0.821  0.573  0.540
O  0.821  0.927  0.040
O  0.835  0.571  0.979
O  0.835  0.929  0.479
O  0.901  0.583  0.826
O  0.901  0.917  0.326
O  0.907  0.504  0.259
O  0.907  0.996  0.759
O  0.972  0.216  0.319
O  0.972  0.284  0.819

Output
Formation energy without anion corrections, eV/atom: -2.2185
Magnetic moment, μB per formula unit: 3.0
Distance to the lowest polymorph of the same formula, eV/atom: 0.000
Total DFT energy (no corrections), eV for the cell shown: -721.8



(3)
Below is Tb6Zn23 at its PBEsol-relaxed geometry, with properties calculated at the meta-GGA SCAN level.

abc: 8.818 8.818 8.818
angles: 60.00 60.00 60.00
Atoms (fractional coordinates):
Tb  0.208  0.208  0.792
Tb  0.208  0.792  0.208
Tb  0.208  0.792  0.792
Tb  0.792  0.208  0.208
Tb  0.792  0.208  0.792
Tb  0.792  0.792  0.208
Zn  0.000  0.000  0.500
Zn  0.000  0.500  0.000
Zn  0.000  0.500  0.500
Zn  0.131  0.623  0.623
Zn  0.172  0.172  0.172
Zn  0.172  0.172  0.484
Zn  0.172  0.484  0.172
Zn  0.377  0.377  0.377
Zn  0.377  0.377  0.869
Zn  0.377  0.869  0.377
Zn  0.484  0.172  0.172
Zn  0.500  0.000  0.000
Zn  0.500  0.000  0.500
Zn  0.500  0.500  0.000
Zn  0.500  0.500  0.500
Zn  0.516  0.828  0.828
Zn  0.623  0.131  0.623
Zn  0.623  0.623  0.131
Zn  0.623  0.623  0.623
Zn  0.828  0.516  0.828
Zn  0.828  0.828  0.516
Zn  0.828  0.828  0.828
Zn  0.869  0.377  0.377

Output
Magnetic moment, μB per formula unit: 0.0
Total DFT energy (no corrections), eV for the cell shown: -602.4



(4)
Below is KCo2Pb at its PBEsol-relaxed geometry, with properties calculated at the meta-GGA SCAN level.

abc: 7.597 4.384 6.532
angles: 90.00 112.98 90.00
Atoms (fractional coordinates):
K  0.000  0.000  0.000
K  0.500  0.500  0.000
Co  0.172  0.000  0.514
Co  0.328  0.500  0.486
Co  0.672  0.500  0.514
Co  0.828  0.000  0.486
Pb  0.000  0.500  0.500
Pb  0.500  0.000  0.500

Output
Magnetic moment, μB per formula unit: 3.3
Distance to the lowest polymorph of the same formula, eV/atom: 0.000
Total DFT energy (no corrections), eV for the cell shown: -234.8



| no. | Fermi-level density of states (states/eV/atom) |
| --- | --- |
| 1 | 1.310 |
| 2 | 0.312 |
| 3 | 0.336 |
| 4 | 0.415 |